Computed, not measured: ScReAu2 after structural relaxation at the GGA-PBE level of DFT.

Unit cell a=3.923 b=3.923 c=10.224 alpha=78.94 beta=78.94 gamma=90.00
Positions (direct):
Sc (0.500, 0.500, 0.000)
Sc (0.250, 0.750, 0.500)
Re (0.000, 0.000, 0.000)
Re (0.750, 0.250, 0.500)
Au (0.633, 0.125, 0.250)
Au (0.117, 0.625, 0.250)
Au (0.375, 0.367, 0.750)
Au (0.875, 0.883, 0.750)

The value obtained for the formation energy is 0.391 eV per atom. As for the energy above the lowest structure with this stoichiometry: 1.78 eV per formula unit.